VASP calculation (PBE) on a relaxed structure of Nb3NF.

Values from the calculation:
Energy above the most stable polymorph in this dataset in meV/atom: 0.0
Electronic total energy in eV per atom: -8.285
Formation energy without anion corrections in meV/atom: -204
V in A^3/atom: 15.3

Cell: 4.2463 4.2463 4.2463 Å, 90.00 90.00 90.00°
Space group Pm-3m (No. 221)
Unique sites:
Nb  0.0000  0.0000  0.5000 (multiplicity 3)
N  0.0000  0.0000  0.0000 (multiplicity 1)
F  0.5000  0.5000  0.5000 (multiplicity 1)

***

VASP calculation (PBE) on a relaxed structure of LiZn3C.

Values from the calculation:
Energy above the most stable polymorph in this dataset in meV/atom: 0.0
Electronic total energy in eV per atom: -2.416
V in A^3/atom: 14.7
Formation energy from the elements in meV/atom: 576

Cell: 4.1874 4.1874 4.1874 Å, 90.00 90.00 90.00°
Space group Pm-3m (No. 221)
Unique sites:
Li  0.0000  0.0000  0.0000 (multiplicity 1)
Zn  0.0000  0.5000  0.5000 (multiplicity 3)
C  0.5000  0.5000  0.5000 (multiplicity 1)

***

VASP calculation (PBE) on a relaxed structure of CaAlRh3.

Values from the calculation:
Energy above the most stable polymorph in this dataset in meV/atom: 1378.3
Electronic total energy in eV per atom: -4.251
V in A^3/atom: 20.9
Formation energy from the elements in meV/atom: 1309

Cell: 4.7096 4.7096 4.7096 Å, 90.00 90.00 90.00°
Space group Pm-3m (No. 221)
Unique sites:
Ca  0.0000  0.0000  0.0000 (multiplicity 1)
Al  0.5000  0.5000  0.5000 (multiplicity 1)
Rh  0.0000  0.0000  0.5000 (multiplicity 3)

***

VASP calculation (PBE) on a relaxed structure of AlNO2F.

Values from the calculation:
Electronic total energy in eV per atom: -3.515
Formation energy without anion corrections in meV/atom: 1256
V in A^3/atom: 9.6

Cell: 3.7298 3.7298 3.4588 Å, 90.00 90.00 90.00°
Space group P4/mmm (No. 123)
Unique sites:
Al  0.0000  0.0000  0.0000 (multiplicity 1)
N  0.5000  0.5000  0.0000 (multiplicity 1)
O  0.0000  0.5000  0.5000 (multiplicity 2)
F  0.5000  0.5000  0.5000 (multiplicity 1)

***

VASP calculation (PBE) on a relaxed structure of NiAg2Cl.

Values from the calculation:
Energy above the most stable polymorph in this dataset in meV/atom: 422.4
Electronic total energy in eV per atom: -2.863
Formation energy without anion corrections in meV/atom: 470
V in A^3/atom: 17.5

Cell: 6.5391 6.5391 6.5391 Å, 90.00 90.00 90.00°
Space group Fm-3m (No. 225)
Unique sites:
Ni  0.0000  0.0000  0.0000 (multiplicity 4)
Ag  0.2500  0.2500  0.2500 (multiplicity 8)
Cl  0.0000  0.0000  0.5000 (multiplicity 4)

***

VASP calculation (PBE) on a relaxed structure of Pm3Hg2Au2.

Values from the calculation:
Electronic total energy in eV per atom: -3.582
V in A^3/atom: 28.9
Formation energy from the elements in meV/atom: -523

Cell: 8.8879 5.1326 9.3476 Å, 90.00 108.36 90.00°
Space group C2/m (No. 12)
Unique sites:
Pm  0.0000  0.0000  0.0000 (multiplicity 2)
Pm  0.2240  0.0000  0.6708 (multiplicity 4)
Hg  0.1170  0.5000  0.8507 (multiplicity 4)
Au  0.1106  0.0000  0.3330 (multiplicity 4)

***

VASP calculation (PBE) on a relaxed structure of PmDyTh2Sb5.

Values from the calculation:
Electronic total energy in eV per atom: -5.183
Formation energy without anion corrections in meV/atom: -204
V in A^3/atom: 35.6

Cell: 5.2581 5.2581 11.5923 Å, 90.00 90.00 90.00°
Space group P4/mmm (No. 123)
Unique sites:
Pm  0.0000  0.0000  0.0000 (multiplicity 1)
Dy  0.0000  0.0000  0.5000 (multiplicity 1)
Th  0.5000  0.5000  0.3016 (multiplicity 2)
Sb  0.0000  0.0000  0.2505 (multiplicity 2)
Sb  0.0000  0.5000  0.5000 (multiplicity 2)
Sb  0.5000  0.5000  0.0000 (multiplicity 1)

***

VASP calculation (PBE) on a relaxed structure of CrCo2IrN.

Values from the calculation:
Electronic total energy in eV per atom: -8.200
Formation energy without anion corrections in meV/atom: 4
V in A^3/atom: 10.8

Cell: 3.7789 3.7789 3.7966 Å, 90.00 90.00 90.00°
Space group P4/mmm (No. 123)
Unique sites:
Cr  0.0000  0.0000  0.0000 (multiplicity 1)
Co  0.0000  0.5000  0.5000 (multiplicity 2)
Ir  0.5000  0.5000  0.0000 (multiplicity 1)
N  0.0000  0.0000  0.5000 (multiplicity 1)

***

VASP calculation (PBE) on a relaxed structure of KIn3Os.

Values from the calculation:
Energy above the most stable polymorph in this dataset in meV/atom: 2096.4
Electronic total energy in eV per atom: -2.029
V in A^3/atom: 37.7
Formation energy from the elements in meV/atom: 2080

Cell: 5.7359 5.7359 5.7359 Å, 90.00 90.00 90.00°
Space group Pm-3m (No. 221)
Unique sites:
K  0.0000  0.0000  0.0000 (multiplicity 1)
In  0.0000  0.0000  0.5000 (multiplicity 3)
Os  0.5000  0.5000  0.5000 (multiplicity 1)

***

VASP calculation (PBE) on a relaxed structure of U2ZnTc.

Values from the calculation:
Electronic total energy in eV per atom: -8.451
V in A^3/atom: 19.1
Formation energy from the elements in meV/atom: 103

Cell: 3.0092 3.0092 8.4496 Å, 90.00 90.00 90.00°
Space group P4/mmm (No. 123)
Unique sites:
U  0.0000  0.0000  0.2290 (multiplicity 2)
Zn  0.5000  0.5000  0.5000 (multiplicity 1)
Tc  0.5000  0.5000  0.0000 (multiplicity 1)

***

VASP calculation (PBE) on a relaxed structure of UH2S.

Values from the calculation:
Electronic total energy in eV per atom: -6.230
V in A^3/atom: 11.7

Cell: 3.6552 3.6552 12.1418 Å, 90.00 90.00 120.00°
Space group R-3m (No. 166, hexagonal axes)
Unique sites:
U  0.0000  0.0000  0.0000 (multiplicity 3)
H  0.0000  0.0000  0.2960 (multiplicity 6)
S  0.0000  0.0000  0.5000 (multiplicity 3)

***

VASP calculation (PBE) on a relaxed structure of Sm2Ho2Er5.

Values from the calculation:
Energy above the most stable polymorph in this dataset in meV/atom: 0.0
Electronic total energy in eV per atom: -4.459
V in A^3/atom: 32.5
Formation energy from the elements in meV/atom: 142

Cell: 14.3109 3.5806 11.4665 Å, 90.00 94.61 90.00°
Space group C2/m (No. 12)
Unique sites:
Sm  0.0711  0.0000  0.3434 (multiplicity 4)
Ho  0.1895  0.5000  0.1095 (multiplicity 4)
Er  0.0000  0.0000  0.0000 (multiplicity 2)
Er  0.1101  0.5000  0.8132 (multiplicity 4)
Er  0.2139  0.0000  0.6099 (multiplicity 4)